{"formula": "V9PO25", "functional": "GGA+U", "state": "relaxed", "lattice": [[10.837, 0.009, 0.000], [-10.229, 3.581, 0.000], [-0.304, -1.795, 10.683]], "species": ["O", "V", "O", "O", "O", "O", "O", "V", "P", "V", "O", "O", "O", "O", "O", "O", "O", "V", "O", "V", "O", "O", "O", "O", "O", "V", "O", "O", "O", "O", "V", "V", "V", "O", "O"], "frac_coords": [[0.342, 0.146, 0.508], [0.776, 0.878, 0.673], [0.619, 0.262, 0.858], [0.160, 0.201, 0.394], [0.993, 0.728, 0.698], [0.167, 0.658, 0.804], [0.500, 0.500, 0.000], [0.000, 0.000, 0.000], [0.750, 0.250, 0.500], [0.655, 0.104, 0.782], [0.571, 0.095, 0.620], [0.637, 0.833, 0.492], [0.953, 0.121, 0.064], [0.111, 0.047, 0.168], [0.234, 0.840, 0.041], [0.272, 0.969, 0.265], [0.905, 0.525, 0.476], [0.896, 0.679, 0.552], [0.031, 0.295, 0.302], [0.897, 0.224, 0.102], [0.404, 0.761, 0.142], [0.239, 0.381, 0.643], [0.879, 0.943, 0.832], [0.049, 0.429, 0.524], [0.807, 0.766, 0.606], [0.122, 0.795, 0.898], [0.475, 0.951, 0.380], [0.854, 0.363, 0.196], [0.705, 0.007, 0.735], [0.799, 0.193, 0.959], [0.127, 0.345, 0.448], [0.205, 0.103, 0.327], [0.321, 0.873, 0.218], [0.738, 0.596, 0.357], [0.057, 0.889, 0.936]], "total_magnetization_mub_per_cell": 0.0, "dft_energy_ev_per_cell": -258.78}